A plane-wave DFT calculation with PBE with a Hubbard U was carried out for V2ZnP2O9 after structural relaxation.

Output
For the raw total energy, the calculation gives -7.18 eV per atom. Its total moment is 4.00 μB/f.u. The symmetry is Pnma, No. 62.

a = 14.3257 Å, b = 6.3030 Å, c = 7.4975 Å
α = 90.00°, β = 90.00°, γ = 90.00°
Last column: nearest neighbours and their distance in Å.
Element x y z (fractional)
V  0.0000  0.0000  0.0000  6 O 1.98-2.11
V  0.0000  0.5000  0.0000  6 O 1.98-2.11
V  0.1220  0.2500  0.3548  6 O 1.98-2.09
V  0.3780  0.7500  0.8548  6 O 1.98-2.09
V  0.5000  0.0000  0.5000  6 O 1.98-2.11
V  0.5000  0.5000  0.5000  6 O 1.98-2.11
V  0.6220  0.2500  0.1452  6 O 1.98-2.09
V  0.8780  0.7500  0.6452  6 O 1.98-2.09
Zn  0.2322  0.2500  0.9419  3 O 2.04-2.22
Zn  0.2678  0.7500  0.4419  3 O 2.04-2.22
Zn  0.7322  0.2500  0.5581  3 O 2.04-2.22
Zn  0.7678  0.7500  0.0581  3 O 2.04-2.22
P  0.0704  0.7500  0.3657  4 O 1.50-1.56
P  0.1945  0.7500  0.8914  4 O 1.54-1.58
P  0.3055  0.2500  0.3914  4 O 1.54-1.58
P  0.4296  0.2500  0.8657  4 O 1.50-1.56
P  0.5704  0.7500  0.1343  4 O 1.50-1.56
P  0.6945  0.7500  0.6086  4 O 1.54-1.58
P  0.8055  0.2500  0.1086  4 O 1.54-1.58
P  0.9296  0.2500  0.6343  4 O 1.50-1.56
O  0.0018  0.2500  0.4902  1 P 1.50
O  0.0250  0.7500  0.1774  1 P 1.55
O  0.0470  0.2500  0.1332  3 V 1.98
O  0.1363  0.5393  0.9002  1 P 1.57
O  0.1363  0.9607  0.9002  1 P 1.57
O  0.1410  0.5625  0.3786  1 P 1.56
O  0.1410  0.9375  0.3786  1 P 1.56
O  0.2311  0.2500  0.5398  1 P 1.54
O  0.2472  0.2500  0.2125  1 P 1.58
O  0.2528  0.7500  0.7125  1 P 1.58
O  0.2689  0.7500  0.0398  1 P 1.54
O  0.3590  0.0625  0.8786  1 P 1.56
O  0.3590  0.4375  0.8786  1 P 1.56
O  0.3637  0.0393  0.4002  1 P 1.57
O  0.3637  0.4607  0.4002  1 P 1.57
O  0.4530  0.7500  0.6332  3 V 1.98
O  0.4750  0.2500  0.6774  1 P 1.55
O  0.4982  0.7500  0.9902  1 P 1.50
O  0.5018  0.2500  0.0098  1 P 1.50
O  0.5250  0.7500  0.3226  1 P 1.55
O  0.5470  0.2500  0.3668  3 V 1.98
O  0.6363  0.5393  0.5998  1 P 1.57
O  0.6363  0.9607  0.5998  1 P 1.57
O  0.6410  0.5625  0.1214  1 P 1.56
O  0.6410  0.9375  0.1214  1 P 1.56
O  0.7311  0.2500  0.9602  1 P 1.54
O  0.7472  0.2500  0.2875  1 P 1.58
O  0.7528  0.7500  0.7875  1 P 1.58
O  0.7689  0.7500  0.4602  1 P 1.54
O  0.8590  0.0625  0.6214  1 P 1.56
O  0.8590  0.4375  0.6214  1 P 1.56
O  0.8637  0.0393  0.0998  1 P 1.57
O  0.8637  0.4607  0.0998  1 P 1.57
O  0.9530  0.7500  0.8668  3 V 1.98
O  0.9750  0.2500  0.8226  1 P 1.55
O  0.9982  0.7500  0.5098  1 P 1.50